LaNiRu2 PBE optimized geometry; space group = No. 65; DFT formation energy = 0.4121 eV per atom; E = -6.9030 eV per atom; distance to the lowest polymorph of the same formula = 184 kJ/mol of formula units
1.0
4.861 0.001 0.000
-1.497 4.625 0.000
0.000 0.000 3.025
Ru La Ni
2 1 1
Direct
0.500 0.500 0.000
0.000 0.000 0.000
0.500 0.000 0.500
0.000 0.500 0.500

Sr3PaSn12 PBE optimized geometry; space group = No. 123; DFT formation energy = -0.3592 eV per atom; E = -4.2702 eV per atom
1.0
-0.249 -4.653 1.091
4.109 0.349 2.428
-9.878 4.304 16.094
Sr Sn Pa
3 12 1
Direct
0.000 0.000 0.500
0.000 0.000 0.242
0.000 0.000 0.758
0.000 0.500 0.882
0.500 0.500 0.500
0.500 0.500 0.753
0.500 0.000 0.882
0.000 0.500 0.118
0.000 0.500 0.627
0.500 0.500 0.247
0.500 0.000 0.373
0.500 0.000 0.118
0.500 0.500 0.000
0.000 0.500 0.373
0.500 0.000 0.627
0.000 0.000 0.000

Ti3AsRu PBE optimized geometry; space group = No. 221; DFT formation energy = 0.2733 eV per atom; E = -7.2487 eV per atom; distance to the lowest polymorph of the same formula = 0 kJ/mol of formula units
1.0
-1.254 -3.786 -2.421
2.772 -2.631 2.676
-3.537 -0.719 2.957
Ti Ru As
3 1 1
Direct
0.500 0.000 0.000
0.000 0.000 0.500
0.000 0.500 0.000
0.000 0.000 0.000
0.500 0.500 0.500

Nd12MgAl4N3 PBE optimized geometry; uncorrected formation energy = -377 meV/atom; space group = No. 229; E = -5.3144 eV per atom
1.0
8.899 0.000 0.000
-2.966 8.390 0.000
-2.966 -4.195 7.266
Nd Al N Mg
12 4 3 1
Direct
0.500 0.250 0.750
0.250 0.750 0.500
0.250 0.500 0.750
0.000 0.274 0.274
0.750 0.500 0.250
0.274 0.274 0.000
0.750 0.250 0.500
0.000 0.726 0.726
0.274 0.000 0.274
0.726 0.000 0.726
0.726 0.726 0.000
0.500 0.750 0.250
0.500 0.000 0.000
0.500 0.500 0.500
0.000 0.500 0.000
0.000 0.000 0.500
0.500 0.000 0.500
0.500 0.500 0.000
0.000 0.500 0.500
0.000 0.000 0.000

Si2AgB PBE optimized geometry; uncorrected formation energy = 432 meV/atom; space group = No. 122; E = -4.6619 eV per atom
1.0
-0.526 4.836 -2.732
-5.020 0.760 2.312
-0.964 4.835 3.048
Si B Ag
4 2 2
Direct
0.875 0.794 0.750
0.544 0.125 0.250
0.375 0.456 0.750
0.206 0.625 0.250
0.250 0.750 0.500
0.500 0.500 0.000
0.750 0.250 0.500
0.000 0.000 0.000

LiAc2P3Pd4 PBE optimized geometry; space group = No. 115; DFT formation energy = -0.9478 eV per atom; E = -5.6610 eV per atom
1.0
4.332 0.000 0.000
0.000 4.332 0.000
0.000 0.000 10.048
P Pd Li Ac
3 4 1 2
Direct
0.500 0.000 0.865
0.000 0.000 0.500
0.000 0.500 0.135
0.500 0.000 0.620
0.000 0.500 0.380
0.500 0.500 0.000
0.000 0.000 0.000
0.500 0.500 0.500
0.000 0.500 0.755
0.500 0.000 0.245

Sc2SiP PBE optimized geometry; uncorrected formation energy = -651 meV/atom; space group = No. 122; E = -6.5249 eV per atom; distance to the lowest polymorph of the same formula = 193 kJ/mol of formula units
1.0
-5.230 4.492 -1.568
-3.480 -5.201 -3.292
-5.777 -1.083 0.225
Sc P Si
4 2 2
Direct
0.875 0.888 0.750
0.638 0.125 0.250
0.112 0.625 0.250
0.375 0.362 0.750
0.750 0.250 0.500
0.000 0.000 0.000
0.250 0.750 0.500
0.500 0.500 0.000

NdHoHf PBE optimized geometry; space group = No. 156; DFT formation energy = 0.1586 eV per atom; E = -6.2744 eV per atom; distance to the lowest polymorph of the same formula = 14 kJ/mol of formula units
1.0
-1.240 -2.788 1.539
3.321 0.761 0.261
-1.595 4.568 6.987
Hf Nd Ho
1 1 1
Direct
0.667 0.333 0.337
0.000 0.000 0.020
0.333 0.667 0.643

Among the records above, which one has the highest E? Sr3PaSn12